Density functional theory data (PBE) for a relaxed Ce2TmCuS5 crystal.

CIF file:
```
data_Ce2TmCuS5
_chemical_formula_sum 'Ce8 Tm4 Cu4 S20'
_space_group_name_H-M_alt 'C m c 21'
_space_group_IT_number 36
_space_group_name_Hall 'C 2c -2'
_cell_length_a 3.8735
_cell_length_b 16.3324
_cell_length_c 11.8635
_cell_angle_alpha 90.00
_cell_angle_beta 90.00
_cell_angle_gamma 90.00
loop_
_atom_site_label
_atom_site_type_symbol
_atom_site_fract_x
_atom_site_fract_y
_atom_site_fract_z
Ce1 Ce 0.0000 0.1149 0.0000
Ce2 Ce 0.0000 0.1177 0.3475
Tm1 Tm 0.0000 0.1808 0.6791
Cu1 Cu 0.0000 0.4483 0.0781
S1 S 0.0000 0.0172 0.6707
S2 S 0.0000 0.3028 0.3373
S3 S 0.0000 0.3106 0.0172
S4 S 0.0000 0.3448 0.6734
S5 S 0.0000 0.4951 0.4046
```

Calculated values
D(E_F) ... 46.32 states/eV per cell
E_form (uncorrected) ... -15.679 eV per formula unit
Crystal system ... orthorhombic